*A*
{
  "formula": "Mg3MoI",
  "functional": "GGA-PBE",
  "state": "optimized geometry",
  "lattice_angstrom": [[5.533, 0.000, 0.000], [0.000, 5.533, 0.000], [0.000, 0.000, 5.533]],
  "species": ["Mg", "Mg", "Mg", "Mo", "I"],
  "fractional_positions": [[0.000, 0.000, 0.500], [0.000, 0.500, 0.000], [0.500, 0.000, 0.000], [0.000, 0.000, 0.000], [0.500, 0.500, 0.500]],
  "spacegroup": "No. 221",
  "magmom_total_mub_per_cell": 3.92
}

***

*B*
{
  "formula": "Mg3MoI",
  "functional": "GGA-PBE",
  "state": "optimized geometry",
  "lattice_angstrom": [[5.481, 0.000, 0.000], [0.000, 5.481, 0.000], [0.000, 0.000, 5.481]],
  "species": ["Mg", "Mg", "Mg", "Mo", "I"],
  "fractional_positions": [[0.000, 0.000, 0.500], [0.000, 0.500, 0.000], [0.500, 0.000, 0.000], [0.500, 0.500, 0.500], [0.000, 0.000, 0.000]],
  "spacegroup": "No. 221",
  "magmom_total_mub_per_cell": 3.98
}

***

Result of the stability comparison: *B* is the least stable of them.

***

*A*
{
  "formula": "MgMoI2",
  "functional": "GGA-PBE",
  "state": "optimized geometry",
  "lattice_angstrom": [[7.119, 0.000, 0.000], [0.000, 7.119, 0.000], [0.000, 0.000, 7.119]],
  "species": ["Mg", "Mg", "Mg", "Mg", "Mo", "Mo", "Mo", "Mo", "I", "I", "I", "I", "I", "I", "I", "I"],
  "fractional_positions": [[0.000, 0.000, 0.000], [0.000, 0.500, 0.500], [0.500, 0.000, 0.500], [0.500, 0.500, 0.000], [0.000, 0.000, 0.500], [0.000, 0.500, 0.000], [0.500, 0.000, 0.000], [0.500, 0.500, 0.500], [0.250, 0.250, 0.250], [0.250, 0.250, 0.750], [0.250, 0.750, 0.250], [0.250, 0.750, 0.750], [0.750, 0.250, 0.250], [0.750, 0.250, 0.750], [0.750, 0.750, 0.250], [0.750, 0.750, 0.750]],
  "spacegroup": "No. 225",
  "magmom_total_mub_per_cell": 4.51
}

***

*B*
{
  "formula": "MgMoI2",
  "functional": "GGA-PBE",
  "state": "optimized geometry",
  "lattice_angstrom": [[6.455, 0.000, 0.000], [0.000, 6.455, 0.000], [0.000, 0.000, 12.345]],
  "species": ["Mg", "Mg", "Mg", "Mg", "Mo", "Mo", "Mo", "Mo", "I", "I", "I", "I", "I", "I", "I", "I"],
  "fractional_positions": [[0.000, 0.000, 0.000], [0.000, 0.500, 0.250], [0.500, 0.000, 0.750], [0.500, 0.500, 0.500], [0.000, 0.000, 0.500], [0.000, 0.500, 0.750], [0.500, 0.000, 0.250], [0.500, 0.500, 0.000], [0.227, 0.250, 0.625], [0.250, 0.727, 0.875], [0.250, 0.773, 0.375], [0.273, 0.250, 0.125], [0.727, 0.750, 0.125], [0.750, 0.227, 0.375], [0.750, 0.273, 0.875], [0.773, 0.750, 0.625]],
  "spacegroup": "No. 122",
  "magmom_total_mub_per_cell": 0.00
}

***

Result of the stability comparison: *B* is the least stable of them.